# 1
# Ho2Mg2Pb3

Ho2Mg2Pb3 after structural relaxation (PBE, Alexandria).

abc: 4.9052 4.9030 9.0399
angles: 74.28 105.74 90.00
Atoms (fractional coordinates):
1 Ho 0.3819 0.1179 0.7638
2 Ho 0.6181 0.8821 0.2362
3 Mg 0.1186 0.3814 0.2372
4 Mg 0.8814 0.6186 0.7628
5 Pb 0.0000 0.0000 0.0000
6 Pb 0.2556 0.7441 0.5112
7 Pb 0.7444 0.2559 0.4888

Summary:
Its symmetry is No. 71.

=====

# 2
# HoMgPdPb

HoMgPdPb after structural relaxation (PBE, Alexandria).

abc: 5.0098 5.0098 5.0098
angles: 60.00 60.00 60.00
Atoms (fractional coordinates):
1 Pb 0.5000 0.5000 0.5000
2 Mg 0.7500 0.7500 0.7500
3 Ho 0.2500 0.2500 0.2500
4 Pd 0.0000 0.0000 0.0000

Summary:
Its symmetry is No. 216.

=====

# 3
# HoMgPtPb

HoMgPtPb after structural relaxation (PBE, Alexandria).

abc: 4.9912 4.9912 4.9912
angles: 60.00 60.00 60.00
Atoms (fractional coordinates):
1 Pb 0.2500 0.2500 0.2500
2 Mg 0.5000 0.5000 0.5000
3 Ho 0.0000 0.0000 0.0000
4 Pt 0.7500 0.7500 0.7500

Summary:
Its symmetry is No. 216.

=====

# 4
# HoPuMgPb

HoPuMgPb after structural relaxation (PBE, Alexandria).

abc: 5.3798 5.3798 5.3798
angles: 60.00 60.00 60.00
Site moments in Bohr magnetons follow the coordinates.
Atoms (fractional coordinates):
1 Pb 0.5000 0.5000 0.5000  -0.04
2 Mg 0.0000 0.0000 0.0000  0.02
3 Ho 0.2500 0.2500 0.2500  0.39
4 Pu 0.7500 0.7500 0.7500  5.63

Summary:
Its symmetry is No. 216.

=====

# 5
# HoMgRhPb

HoMgRhPb after structural relaxation (PBE, Alexandria).

abc: 3.3659 3.3659 7.7211
angles: 90.00 90.00 90.00
Atoms (fractional coordinates):
1 Ho 0.5000 0.5000 0.7712
2 Mg 0.5000 0.5000 0.3656
3 Rh 0.0000 0.0000 0.5544
4 Pb 0.0000 0.0000 0.0935

Summary:
Its symmetry is No. 99. The energy above the lowest structure with this stoichiometry comes out at 0.000 eV/atom.

=====

# 6
# HoMgRhPb

HoMgRhPb after structural relaxation (PBE, Alexandria).

abc: 4.9509 4.9509 4.9509
angles: 60.00 60.00 60.00
Atoms (fractional coordinates):
1 Pb 0.5000 0.5000 0.5000
2 Mg 0.2500 0.2500 0.2500
3 Rh 0.0000 0.0000 0.0000
4 Ho 0.7500 0.7500 0.7500

Summary:
Its symmetry is No. 216. The energy above the lowest structure with this stoichiometry comes out at 0.136 eV/atom.

=====

# 7
# SmHoMgPb

SmHoMgPb after structural relaxation (PBE, Alexandria).

abc: 5.3969 5.3969 5.3969
angles: 60.00 60.00 60.00
Atoms (fractional coordinates):
1 Pb 0.5000 0.5000 0.5000
2 Mg 0.0000 0.0000 0.0000
3 Ho 0.2500 0.2500 0.2500
4 Sm 0.7500 0.7500 0.7500

Summary:
Its symmetry is No. 216.

=====

# 8
# TbHoMgPb

TbHoMgPb after structural relaxation (PBE, Alexandria).

abc: 5.3622 5.3622 5.3622
angles: 60.00 60.00 60.00
Atoms (fractional coordinates):
1 Pb 0.5000 0.5000 0.5000
2 Mg 0.0000 0.0000 0.0000
3 Tb 0.2500 0.2500 0.2500
4 Ho 0.7500 0.7500 0.7500

Summary:
Its symmetry is No. 216.

=====

# 9
# HoMgTl2Pb

HoMgTl2Pb after structural relaxation (PBE, Alexandria).

abc: 6.0655 5.9492 8.6800
angles: 110.04 90.00 90.00
Atoms (fractional coordinates):
1 Ho 0.2500 0.6612 0.3223
2 Ho 0.7500 0.3388 0.6777
3 Mg 0.2500 0.8566 0.7132
4 Mg 0.7500 0.1434 0.2868
5 Tl 0.5000 0.2497 0.0000
6 Tl 0.0000 0.7503 0.0000
7 Tl 0.5000 0.7503 0.0000
8 Tl 0.0000 0.2497 0.0000
9 Pb 0.7500 0.7289 0.4579
10 Pb 0.2500 0.2711 0.5421

Summary:
Its symmetry is No. 63.

=====

# 10
# HoMgTlPb

HoMgTlPb after structural relaxation (PBE, Alexandria).

abc: 4.4309 4.9559 4.7392
angles: 90.00 90.00 90.00
Atoms (fractional coordinates):
1 Ho 0.5000 0.5000 0.0000
2 Mg 0.5000 0.0000 0.5000
3 Tl 0.0000 0.0000 0.0000
4 Pb 0.0000 0.5000 0.5000

Summary:
Its symmetry is No. 47. The energy above the lowest structure with this stoichiometry comes out at 0.000 eV/atom.

=====

# 11
# HoMgTlPb

HoMgTlPb after structural relaxation (PBE, Alexandria).

abc: 5.3257 5.3257 5.3257
angles: 60.00 60.00 60.00
Atoms (fractional coordinates):
1 Pb 0.2500 0.2500 0.2500
2 Tl 0.7500 0.7500 0.7500
3 Mg 0.0000 0.0000 0.0000
4 Ho 0.5000 0.5000 0.5000

Summary:
Its symmetry is No. 216. The energy above the lowest structure with this stoichiometry comes out at 0.117 eV/atom.

=====

# 12
# Ho2Mg5Tl3Pb2

Ho2Mg5Tl3Pb2 after structural relaxation (PBE, Alexandria).

abc: 4.3998 4.3998 18.2437
angles: 96.93 96.93 90.00
Atoms (fractional coordinates):
1 Ho 0.7158 0.7158 0.4315
2 Ho 0.2842 0.2842 0.5685
3 Mg 0.6405 0.1405 0.2810
4 Mg 0.3595 0.8595 0.7190
5 Mg 0.1405 0.6405 0.2810
6 Mg 0.8595 0.3595 0.7190
7 Mg 0.5000 0.5000 0.0000
8 Tl 0.1977 0.1977 0.3955
9 Tl 0.8023 0.8023 0.6045
10 Tl 0.0000 0.0000 0.0000
11 Pb 0.4188 0.4188 0.8375
12 Pb 0.5812 0.5812 0.1625

Summary:
Its symmetry is No. 139.

=====

# 13
# HoTmMgPb

HoTmMgPb after structural relaxation (PBE, Alexandria).

abc: 5.3263 5.3263 5.3263
angles: 60.00 60.00 60.00
Atoms (fractional coordinates):
1 Pb 0.5000 0.5000 0.5000
2 Mg 0.0000 0.0000 0.0000
3 Tm 0.7500 0.7500 0.7500
4 Ho 0.2500 0.2500 0.2500

Summary:
Its symmetry is No. 216.

=====

| no. | formation energy (eV/atom) |
| --- | --- |
| 1 | -0.190 |
| 2 | -0.496 |
| 3 | -0.584 |
| 4 | -0.109 |
| 5 | -0.508 |
| 6 | -0.372 |
| 7 | -0.285 |
| 8 | -0.270 |
| 9 | 0.064 |
| 10 | -0.292 |
| 11 | -0.175 |
| 12 | -0.035 |
| 13 | -0.238 |